Entry 1:
A plane-wave DFT calculation with PBE-GGA was carried out for an optimized crystal structure of LiTl. Values from VASP.

```
&SYSTEM
  ibrav = 0, nat = 16, ntyp = 2
/
ATOMIC_SPECIES
Li 6.94 Li.upf
Tl 204.38 Tl.upf
CELL_PARAMETERS angstrom
5.4356 0.0000 0.0000
0.0000 6.0878 0.0000
0.0000 0.0000 10.8309
ATOMIC_POSITIONS crystal
Li 0.0329 0.1039 0.2844
Li 0.2171 0.3923 0.9609
Li 0.2829 0.6077 0.4609
Li 0.4671 0.8961 0.7844
Li 0.5329 0.3961 0.7156
Li 0.7171 0.1077 0.0391
Li 0.7829 0.8923 0.5391
Li 0.9671 0.6039 0.2156
Tl 0.0589 0.6112 0.7136
Tl 0.2141 0.9024 0.0322
Tl 0.2859 0.0976 0.5322
Tl 0.4411 0.3888 0.2136
Tl 0.5589 0.8888 0.2864
Tl 0.7141 0.5976 0.9678
Tl 0.7859 0.4024 0.4678
Tl 0.9411 0.1112 0.7864
```

Properties
E_form ... -0.166 eV per atom
Uncorrected energy ... -4.61 eV per formula unit

=====

Entry 2:
A plane-wave DFT calculation with PBE-GGA was carried out for an optimized crystal structure of ZnHg2HF6. Values from VASP.

```
&SYSTEM
  ibrav = 0, nat = 20, ntyp = 4
/
ATOMIC_SPECIES
Zn 65.41 Zn.upf
Hg 200.59 Hg.upf
H 1.01 H.upf
F 19.00 F.upf
CELL_PARAMETERS angstrom
4.8483 0.0000 0.0000
0.0000 6.2005 0.0000
0.0000 0.0000 10.1672
ATOMIC_POSITIONS crystal
Zn 0.0000 0.0000 0.0000
Zn 0.5000 0.5000 0.5000
Hg 0.0000 0.5000 0.1974
Hg 0.0000 0.5000 0.8026
Hg 0.5000 0.0000 0.3026
Hg 0.5000 0.0000 0.6974
H 0.0000 0.0000 0.5000
H 0.5000 0.5000 0.0000
F 0.1963 0.1578 0.1414
F 0.1963 0.1578 0.8586
F 0.1977 0.1062 0.5000
F 0.3023 0.6062 0.0000
F 0.3037 0.6578 0.3586
F 0.3037 0.6578 0.6414
F 0.6963 0.3422 0.3586
F 0.6963 0.3422 0.6414
F 0.6977 0.3938 0.0000
F 0.8023 0.8938 0.5000
F 0.8037 0.8422 0.1414
F 0.8037 0.8422 0.8586
```

Properties
Uncorrected energy ... -31.99 eV per formula unit

=====

Entry 3:
A plane-wave DFT calculation with PBE-GGA was carried out for an optimized crystal structure of YHo4Th2. Values from VASP.

```
&SYSTEM
  ibrav = 0, nat = 7, ntyp = 3
/
ATOMIC_SPECIES
Y 88.91 Y.upf
Ho 164.93 Ho.upf
Th 232.04 Th.upf
CELL_PARAMETERS angstrom
4.2105 -5.3491 0.0000
4.2105 5.3491 0.0000
0.0000 0.0000 5.3098
ATOMIC_POSITIONS crystal
Y 0.0000 0.0000 0.0000
Ho 0.0000 0.5000 0.0000
Ho 0.3003 0.3003 0.5000
Ho 0.5000 0.0000 0.0000
Ho 0.6997 0.6997 0.5000
Th 0.2036 0.7964 0.5000
Th 0.7964 0.2036 0.5000
```

Properties
E_form ... 0.270 eV per atom
Uncorrected energy ... -37.72 eV per formula unit
ΔE to the lowest computed polymorph ... 243 meV/atom